This record from the Alexandria database describes a geometry-optimized PuPa6Se8 structure. The functional is PBE-GGA.

Cell: 8.0953 8.0953 8.0953 Å, 60.00 60.00 60.00°
Fractional coordinates of all 15 atoms:
Pu (0.0000, 0.0000, 0.0000)
Pa (0.0000, 0.0000, 0.5000)
Pa (0.0000, 0.5000, 0.0000)
Pa (0.0000, 0.5000, 0.5000)
Pa (0.5000, 0.0000, 0.0000)
Pa (0.5000, 0.0000, 0.5000)
Pa (0.5000, 0.5000, 0.0000)
Se (0.2500, 0.2500, 0.2500)
Se (0.2598, 0.2598, 0.7402)
Se (0.2598, 0.7402, 0.2598)
Se (0.2598, 0.7402, 0.7402)
Se (0.7402, 0.2598, 0.2598)
Se (0.7402, 0.2598, 0.7402)
Se (0.7402, 0.7402, 0.2598)
Se (0.7500, 0.7500, 0.7500)

**Final energy**: -7.924 eV per atom
**Raw formation energy**: -1.311 eV per atom
**Space group**: No. 225

---

This record from the Alexandria database describes a geometry-optimized CaHgAu2 structure. The functional is PBE-GGA.

Cell: 3.6278 3.7766 6.5181 Å, 90.00 90.00 90.00°
Fractional coordinates of all 4 atoms:
Ca (0.0000, 0.0000, 0.0000)
Hg (0.0000, 0.0000, 0.5000)
Au (0.5000, 0.5000, 0.2553)
Au (0.5000, 0.5000, 0.7447)

**Final energy**: -2.680 eV per atom
**ΔH_f (0 K)**: -0.465 eV/atom
**Space group**: No. 47

---

This record from the Alexandria database describes a geometry-optimized FePd3Au4 structure. The functional is PBE-GGA.

Cell: 11.7218 11.7218 11.7218 Å, 165.74 159.80 24.82°
Fractional coordinates of all 8 atoms:
Fe (0.0000, 0.0000, 0.0000)
Pd (0.3452, 0.8452, 0.5000)
Pd (0.5000, 0.5000, 0.0000)
Pd (0.6548, 0.1548, 0.5000)
Au (0.0950, 0.5950, 0.5000)
Au (0.2185, 0.7185, 0.5000)
Au (0.7815, 0.2815, 0.5000)
Au (0.9050, 0.4050, 0.5000)

**Final energy**: -4.575 eV per atom
**ΔH_f (0 K)**: 0.069 eV/atom
**Space group**: No. 71

---

This record from the Alexandria database describes a geometry-optimized AsWBr2 structure. The functional is PBE-GGA.

Cell: 5.5776 5.5776 3.5682 Å, 107.41 107.41 113.92°
Fractional coordinates of all 4 atoms:
As (0.0000, 0.0000, 0.0000)
W (0.5000, 0.5000, 0.0000)
Br (0.0000, 0.5000, 0.5000)
Br (0.5000, 0.0000, 0.5000)

**Final energy**: -4.192 eV per atom
**Raw formation energy**: 1.045 eV per atom
**Distance to the lowest polymorph of the same formula**: 1.072 eV/atom
**Space group**: No. 12

---

This record from the Alexandria database describes a geometry-optimized Tm2Al3Ga structure. The functional is PBE-GGA.

Cell: 8.1058 8.1058 8.1058 Å, 151.50 149.43 42.28°
Fractional coordinates of all 6 atoms:
Tm (0.0000, 0.0000, 0.0000)
Tm (0.7636, 0.2636, 0.5000)
Al (0.1744, 0.6744, 0.5000)
Al (0.3393, 0.8393, 0.5000)
Al (0.5894, 0.5894, 0.0000)
Ga (0.4279, 0.4279, 0.0000)

**Final energy**: -4.288 eV per atom
**Distance to the lowest polymorph of the same formula**: 0.087 eV/atom
**ΔH_f (0 K)**: -0.422 eV/atom
**Space group**: No. 44

---

This record from the Alexandria database describes a geometry-optimized CaHg structure. The functional is PBE-GGA.

Cell: 8.4783 8.4783 8.4783 Å, 92.94 92.94 153.82°
Fractional coordinates of all 8 atoms:
Ca (0.1361, 0.3464, 0.4826)
Ca (0.3464, 0.8639, 0.2103)
Ca (0.6536, 0.1361, 0.7897)
Ca (0.8639, 0.6536, 0.5174)
Hg (0.0698, 0.8345, 0.9043)
Hg (0.1655, 0.0698, 0.2353)
Hg (0.8345, 0.9302, 0.7647)
Hg (0.9302, 0.1655, 0.0957)

**Final energy**: -1.416 eV per atom
**ΔH_f (0 K)**: -0.264 eV/atom
**Space group**: No. 87

---

This record from the Alexandria database describes a geometry-optimized ReRuAu2 structure. The functional is PBE-GGA.

Cell: 4.8222 2.8267 4.9494 Å, 90.00 108.64 90.00°
Fractional coordinates of all 4 atoms:
Re (0.0000, 0.0000, 0.0000)
Ru (0.5000, 0.5000, 0.0000)
Au (0.0000, 0.5000, 0.5000)
Au (0.5000, 0.0000, 0.5000)

**Final energy**: -6.562 eV per atom
**Distance to the lowest polymorph of the same formula**: 0.348 eV/atom
**ΔH_f (0 K)**: 0.507 eV/atom
**Space group**: No. 10

---

This record from the Alexandria database describes a geometry-optimized ZrTi4Nb structure. The functional is PBE-GGA.

Cell: 8.9544 8.9544 2.9533 Å, 94.05 94.05 109.12°
Fractional coordinates of all 12 atoms:
Zr (0.0936, 0.9064, 0.7500)
Zr (0.9064, 0.0936, 0.2500)
Ti (0.1394, 0.6105, 0.4284)
Ti (0.1643, 0.3386, 0.8466)
Ti (0.3386, 0.1643, 0.3466)
Ti (0.3895, 0.8606, 0.0716)
Ti (0.6105, 0.1394, 0.9284)
Ti (0.6614, 0.8357, 0.6534)
Ti (0.8357, 0.6614, 0.1534)
Ti (0.8606, 0.3895, 0.5716)
Nb (0.4154, 0.5846, 0.2500)
Nb (0.5846, 0.4154, 0.7500)

**Final energy**: -8.232 eV per atom
**Distance to the lowest polymorph of the same formula**: 0.000 eV/atom
**ΔH_f (0 K)**: 0.135 eV/atom
**Space group**: No. 15